Compound: PuCoRhO6
Source: the Alexandria database
Functional: GGA+U
Structure: optimized geometry

Structure (CIF):
```
data_PuCoRhO6
_chemical_formula_sum 'Pu2 Co2 Rh2 O12'
_cell_length_a 5.0851
_cell_length_b 5.0851
_cell_length_c 8.8603
_cell_angle_alpha 90.00
_cell_angle_beta 90.00
_cell_angle_gamma 120.00
_space_group_name_H-M_alt 'P -3 1 c'
_space_group_IT_number 163
_space_group_name_Hall '-P 3 2c'
loop_
_atom_site_label
_atom_site_type_symbol
_atom_site_fract_x
_atom_site_fract_y
_atom_site_fract_z
Pu1 Pu 0.3333 0.6667 0.2500
Co1 Co 0.3333 0.6667 0.7500
Rh1 Rh 0.0000 0.0000 0.0000
O1 O 0.0205 0.3483 0.6267
```

Results
**Total energy**: -7.78 eV per atom
**D(E_F)**: 10.6 states/eV per cell
**V**: 11.02 A^3/atom